Compound: Th4Te3P
Source: Alexandria
Functional: PBE-GGA
Structure: optimized geometry

calculated density	9243	kg/m3
DOS(E_F)	6.79	states/eV/f.u.
SG	Cmmm, No. 65
uncorrected formation energy	-1176	meV/atom

The structure in extended XYZ format:
```
8
Lattice="-2.6526 -3.3818 -0.4294 -0.3702 1.2507 -7.5626 5.8474 -4.7657 1.4109" Properties=species:S:1:pos:R:3 pbc="T T T"
Th 1.1718 -0.7520 -1.3161
Te -0.1851 0.6254 -3.7813
P -1.3263 -1.6909 -0.2147
Th 3.0980 -5.0795 -0.8577
Te 1.4123 -3.4484 -3.2906
Th -0.2734 -1.8172 -5.7234
Th 4.3054 -2.7629 -4.8356
Te 2.9237 -2.3828 0.7054
```



Compound: Th3Te3P
Source: Alexandria
Functional: PBE-GGA
Structure: optimized geometry

calculated density	8094	kg/m3
DOS(E_F)	4.58	states/eV/f.u.
SG	C2/m, No. 12
uncorrected formation energy	-990	meV/atom

The structure in extended XYZ format:
```
14
Lattice="7.8436 0.3624 0.2485 -3.1699 7.1837 0.2485 -0.4775 -0.7709 7.8695" Properties=species:S:1:pos:R:3 pbc="T T T"
Th -0.2780 3.2476 2.6131
Th 3.0314 1.1979 2.6131
Te 2.7380 4.4207 3.0751
Th 4.4742 3.5275 5.7534
Te 5.8108 1.0881 4.1833
Th -0.0985 -0.1591 6.2805
Te 5.2705 1.9560 0.2485
Te -1.6146 5.6870 4.1833
Te -0.5969 5.5900 0.2485
P 3.1200 5.0374 7.5578
Te 1.4582 2.3544 5.2914
P 1.0762 1.7377 0.8088
Th 1.1648 5.5772 5.7534
Th 4.2948 6.9343 2.0860
```



Compound: Th4TeP2
Source: Alexandria
Functional: PBE-GGA
Structure: optimized geometry

calculated density	9041	kg/m3
DOS(E_F)	6.92	states/eV/f.u.
SG	R-3m, No. 166
uncorrected formation energy	-1083	meV/atom

The structure in extended XYZ format:
```
7
Lattice="-3.2959 2.3769 0.5231 -3.6008 -1.6812 0.9970 0.8573 1.5939 14.2029" Properties=species:S:1:pos:R:3 pbc="T T T"
P -3.7383 0.8347 4.7429
Th -1.8025 0.4461 2.6609
Th -0.3584 1.0693 8.9273
P -2.3010 1.4549 10.9801
Th -4.2369 1.8435 13.0621
Th -5.6809 1.2203 6.7957
Te 0.0000 0.0000 0.0000
```



Compound: Th4Te5P2
Source: Alexandria
Functional: PBE-GGA
Structure: optimized geometry

calculated density	7786	kg/m3
DOS(E_F)	6.49	states/eV/f.u.
SG	Immm, No. 71
uncorrected formation energy	-1167	meV/atom

The structure in extended XYZ format:
```
11
Lattice="-1.1987 0.7041 -4.0510 5.8401 -5.2864 -2.6469 -8.7020 -5.0638 3.9587" Properties=species:S:1:pos:R:3 pbc="T T T"
Te 2.3915 -6.5148 -1.8399
Te -0.7792 -3.6446 -0.4029
Te -6.4520 -3.1313 -0.8992
P -5.6792 -6.5458 0.5427
Th -0.2564 -5.2615 -3.1027
Te -3.2812 -6.0015 -2.3362
P 1.6187 -3.1003 -3.2818
Th 4.1839 -3.7872 -1.8962
Te -0.5993 0.3520 -2.0255
Th -3.8041 -4.3846 0.3635
Th 1.6562 -1.4992 -0.7506
```



Compound: TmThTeP
Source: Alexandria
Functional: PBE-GGA
Structure: optimized geometry

calculated density	8700	kg/m3
DOS(E_F)	0.68	states/eV/f.u.
SG	R3m, No. 160
uncorrected formation energy	-1408	meV/atom

The structure in extended XYZ format:
```
4
Lattice="4.0947 -0.0007 -0.0004 -2.0471 3.5467 0.0001 -2.0469 -1.1819 7.3547" Properties=species:S:1:pos:R:3 pbc="T T T"
Tm 0.3869 -0.2596 4.8720
P -1.6603 0.9228 6.3082
Te 2.4341 0.9226 2.7740
Th -1.6602 3.2876 0.5313
```



Compound: YThTeP
Source: Alexandria
Functional: PBE-GGA
Structure: optimized geometry

calculated density	7283	kg/m3
DOS(E_F)	0.56	states/eV/f.u.
SG	R3m, No. 160
uncorrected formation energy	-1452	meV/atom

The structure in extended XYZ format:
```
4
Lattice="4.1351 -0.0006 -0.0004 -2.0672 3.5818 0.0001 -2.0672 -1.1935 7.3825" Properties=species:S:1:pos:R:3 pbc="T T T"
Th -1.6766 3.3200 0.5319
P -1.6767 0.9321 6.3702
Te 2.4582 0.9318 2.7516
Y 0.3908 -0.2621 4.8868
```



What did the first record say?
Compound: Th4Te3P
Source: Alexandria
Functional: PBE-GGA
Structure: optimized geometry

calculated density	9243	kg/m3
DOS(E_F)	6.79	states/eV/f.u.
SG	Cmmm, No. 65
uncorrected formation energy	-1176	meV/atom

The structure in extended XYZ format:
```
8
Lattice="-2.6526 -3.3818 -0.4294 -0.3702 1.2507 -7.5626 5.8474 -4.7657 1.4109" Properties=species:S:1:pos:R:3 pbc="T T T"
Th 1.1718 -0.7520 -1.3161
Te -0.1851 0.6254 -3.7813
P -1.3263 -1.6909 -0.2147
Th 3.0980 -5.0795 -0.8577
Te 1.4123 -3.4484 -3.2906
Th -0.2734 -1.8172 -5.7234
Th 4.3054 -2.7629 -4.8356
Te 2.9237 -2.3828 0.7054
```



Q: Look up the calculated density of the second one.
A: 8094 kg/m3



Q: Among the records above, which one has the highest uncorrected formation energy?
A: Th3Te3P